# 1
Compound: Tb2Nd2Te2Se3
Source: Alexandria via LeMat-Bulk
Functional: GGA-PBE
Structure: relaxed

Geometry as extended XYZ:
```
9
Lattice="-2.823 2.823 8.009 2.823 -2.823 8.009 2.823 2.823 -8.009" Properties=species:S:1:pos:R:3 pbc="T T T"
Tb 2.823 0.000 0.000
Tb 0.000 2.823 0.000
Nd 0.000 0.000 3.109
Nd 0.000 0.000 12.909
Te 0.000 0.000 6.325
Te 0.000 0.000 9.692
Se 0.000 0.000 0.000
Se 2.823 0.000 4.004
Se 0.000 2.823 4.004
```

Calculated values
- formation energy (no corrections) (kJ per mole of atoms) = -139.2
- SG = No. 139
- crystal system = tetragonal



# 2
Compound: Nd4Sm4Sc
Source: Alexandria via LeMat-Bulk
Functional: GGA-PBE
Structure: relaxed

Geometry as extended XYZ:
```
9
Lattice="-5.423 5.423 2.546 5.423 -5.423 2.546 5.423 5.423 -2.546" Properties=species:S:1:pos:R:3 pbc="T T T"
Nd 1.778 1.778 0.000
Nd 3.646 -3.646 2.546
Nd -3.646 3.646 2.546
Nd 3.646 3.646 2.546
Sm 5.423 1.830 0.000
Sm 1.830 5.423 0.000
Sm 3.593 0.000 2.546
Sm 0.000 3.593 2.546
Sc 0.000 0.000 2.546
```

Calculated values
- E_form (eV/f.u.) = 0.3
- SG = No. 139
- crystal system = tetragonal



# 3
Compound: BaMnW2
Source: Alexandria via LeMat-Bulk
Functional: GGA-PBE
Structure: relaxed

Geometry as extended XYZ:
```
8
Lattice="3.412 0.000 0.000 0.000 4.847 0.000 0.000 0.000 9.863" Properties=species:S:1:pos:R:3 pbc="T T T"
Ba 0.000 0.000 0.000
Ba 1.706 2.424 0.000
Mn 0.000 2.424 2.982
Mn 1.706 0.000 2.982
W 0.000 0.000 4.914
W 0.000 2.424 6.902
W 1.706 0.000 6.902
W 1.706 2.424 4.914
```

Calculated values
- E_form (eV/f.u.) = 3.7
- SG = No. 35
- crystal system = orthorhombic



# 4
Compound: CsAc3P
Source: Alexandria via LeMat-Bulk
Functional: GGA-PBE
Structure: relaxed

Geometry as extended XYZ:
```
5
Lattice="6.111 0.000 0.000 0.000 6.111 0.000 0.000 0.000 6.111" Properties=species:S:1:pos:R:3 pbc="T T T"
Cs 0.000 0.000 0.000
Ac 0.000 3.056 3.056
Ac 3.056 0.000 3.056
Ac 3.056 3.056 0.000
P 3.056 3.056 3.056
```

Calculated values
- E_form (eV/f.u.) = -0.9
- SG = No. 221
- crystal system = cubic



# 5
Compound: CaIrOs2
Source: Alexandria via LeMat-Bulk
Functional: GGA-PBE
Structure: relaxed

Geometry as extended XYZ:
```
4
Lattice="2.773 0.000 0.000 0.000 2.773 0.000 0.000 0.000 8.629" Properties=species:S:1:pos:R:3 pbc="T T T"
Ca 0.000 0.000 0.000
Ir 0.000 0.000 4.314
Os 1.387 1.387 2.440
Os 1.387 1.387 6.189
```

Calculated values
- E_form (eV/f.u.) = 1.6
- SG = No. 123
- crystal system = tetragonal



# 6
Compound: AcFeGe2
Source: Alexandria via LeMat-Bulk
Functional: GGA-PBE
Structure: relaxed

Geometry as extended XYZ:
```
4
Lattice="3.444 0.000 0.000 0.000 3.444 0.000 0.000 0.000 6.966" Properties=species:S:1:pos:R:3 pbc="T T T"
Ac 0.000 0.000 0.000
Fe 0.000 0.000 3.483
Ge 1.722 1.722 2.223
Ge 1.722 1.722 4.743
```

Calculated values
- E_form (eV/f.u.) = -0.2
- SG = No. 123
- crystal system = tetragonal



# 7
Compound: ZrCu2IO
Source: Alexandria via LeMat-Bulk
Functional: GGA-PBE
Structure: relaxed

Geometry as extended XYZ:
```
5
Lattice="4.511 0.000 0.000 0.000 4.511 0.000 0.000 0.000 4.246" Properties=species:S:1:pos:R:3 pbc="T T T"
Zr 0.000 0.000 0.000
Cu 0.000 2.256 2.123
Cu 2.256 0.000 2.123
I 2.256 2.256 0.000
O 0.000 0.000 2.123
```

Calculated values
- formation energy (no corrections) (kJ per mole of atoms) = -20.1
- SG = No. 123
- crystal system = tetragonal



# 8
Compound: TlTe2
Source: Alexandria via LeMat-Bulk
Functional: GGA-PBE
Structure: relaxed

Geometry as extended XYZ:
```
12
Lattice="4.334 0.000 0.000 0.000 20.648 0.000 0.000 0.000 4.919" Properties=species:S:1:pos:R:3 pbc="T T T"
Tl 0.000 2.518 1.230
Tl 0.000 18.130 3.689
Tl 2.167 7.806 3.689
Tl 2.167 12.842 1.230
Te 0.000 5.128 3.689
Te 0.000 9.640 1.230
Te 0.000 11.008 3.689
Te 0.000 15.521 1.230
Te 2.167 0.684 3.689
Te 2.167 5.197 1.230
Te 2.167 15.452 3.689
Te 2.167 19.964 1.230
```

Calculated values
- formation energy (no corrections) (kJ per mole of atoms) = -9.3
- SG = No. 63
- crystal system = orthorhombic



| no. | raw total energy (eV per atom) |
| --- | --- |
| 1 | -5.39 |
| 2 | -4.89 |
| 3 | -8.32 |
| 4 | -3.91 |
| 5 | -7.93 |
| 6 | -5.50 |
| 7 | -4.86 |
| 8 | -2.98 |